No. 1
## TiCrAgS4 (GGA-PBE)

Data for TiCrAgS4 after structural relaxation.

Cell: 3.4785 5.9554 12.7682 Å, 88.89 90.00 90.00°
Last column: nearest neighbours and their distance in Å.
Positions (direct):
Ti  0.5000  0.5322  0.2510  6 S 2.35-2.53
Ti  0.5000  0.4678  0.7490  6 S 2.35-2.53
Cr  0.0000  0.0153  0.7522  6 S 2.40-2.42
Cr  0.0000  0.9847  0.2478  6 S 2.40-2.42
Ag  0.5000  0.5000  0.0000  6 S 2.71-2.75
Ag  0.0000  0.0000  0.5000  6 S 2.68-2.75
S  0.5000  0.1555  0.8642  1 Ti 2.35, 2 Cr 2.41
S  0.5000  0.8445  0.1358  1 Ti 2.35, 2 Cr 2.41
S  0.0000  0.6614  0.3652  2 Ti 2.41, 1 Cr 2.42, 1 Ag 2.68
S  0.0000  0.3386  0.6348  2 Ti 2.41, 1 Cr 2.42, 1 Ag 2.68
S  0.0000  0.6685  0.8519  1 Cr 2.40, 2 Ti 2.50
S  0.0000  0.3315  0.1481  1 Cr 2.40, 2 Ti 2.50
S  0.5000  0.1578  0.3487  2 Cr 2.41, 1 Ti 2.53
S  0.5000  0.8422  0.6513  2 Cr 2.41, 1 Ti 2.53

Summary:
E_tot (eV/atom): -6.0847
Formation energy without anion corrections (kcal/mol of atoms): -18.82
Energy above the most stable polymorph in this dataset (meV per atom): 4.8
Crystal system: monoclinic
Magnetic moment (μB/atom): 0.43

=====

No. 2
## Pr4GaSe2I (GGA-PBE)

Data for Pr4GaSe2I after structural relaxation.

Cell: 4.2648 7.5173 7.7834 Å, 71.68 90.00 90.00°
Last column: nearest neighbours and their distance in Å.
Positions (direct):
Pr  0.0000  0.7704  0.7173  3 Se 2.92-3.20, 1 Ga 3.03, 2 I 3.27
Pr  0.0000  0.2297  0.2827  3 Se 2.92-3.20, 1 Ga 3.03, 2 I 3.27
Pr  0.5000  0.7560  0.2647  3 Se 2.97-3.13, 2 Ga 3.06, 1 I 3.23
Pr  0.5000  0.2440  0.7353  3 Se 2.97-3.13, 2 Ga 3.06, 1 I 3.23
Ga  0.0000  0.5000  0.5000  6 Pr 3.03-3.06
Se  0.0000  0.0000  0.0000  6 Pr 3.13-3.20
Se  0.5000  0.0000  0.5000  6 Pr 2.92-2.97
I  0.5000  0.5000  0.0000  6 Pr 3.23-3.27

Summary:
E_tot (eV/atom): -5.1320
Formation energy without anion corrections (kcal/mol of atoms): -29.96
Crystal system: monoclinic
Magnetic moment (μB/atom): 0.00

=====

No. 3
## KReAu2 (GGA-PBE)

Data for KReAu2 after structural relaxation.

Cell: 8.0108 5.3369 2.7212 Å, 90.02 70.15 131.61°
Last column: nearest neighbours and their distance in Å.
Positions (direct):
Au  0.0000  0.0000  0.0000  2 Au 2.72, 4 Re 2.99-3.00, 4 K 2.99-3.00
Au  0.5000  0.0000  0.5000  2 Au 2.72, 4 K 2.99-3.00, 4 Re 2.99-3.00
K  0.0000  0.5000  0.5000  2 K 2.72, 8 Au 2.99-3.00
Re  0.5000  0.5000  0.0000  2 Re 2.72, 8 Au 2.99-3.00

Summary:
E_tot (eV/atom): -4.4875
Energy above the most stable polymorph in this dataset (meV per atom): 55.8
ΔH_f (0 K) (eV per atom): 0.538
Crystal system: orthorhombic
Magnetic moment (μB/atom): 0.24

=====

No. 4
## AlCuRu2 (GGA-PBE)

Data for AlCuRu2 after structural relaxation.

Cell: 2.6885 2.6885 8.4095 Å, 90.00 90.00 114.52°
Last column: nearest neighbours and their distance in Å.
Positions (direct):
Ru  0.0000  0.0000  0.0069  2 Al 2.51, 2 Cu 2.60, 4 Ru 2.69
Ru  0.0000  0.0000  0.4931  2 Al 2.51, 2 Cu 2.60, 4 Ru 2.69
Al  0.5000  0.5000  0.2500  4 Ru 2.51, 4 Al 2.69
Cu  0.5000  0.5000  0.7500  4 Ru 2.60, 6 Cu 2.69-2.91

Summary:
E_tot (eV/atom): -6.5350
ΔH_f (0 K) (eV per atom): 0.063
Crystal system: orthorhombic
Magnetic moment (μB/atom): 0.00

=====

No. 5
## TlCr2Te (GGA-PBE)

Data for TlCr2Te after structural relaxation.

Cell: 3.2664 3.2664 8.0460 Å, 90.00 90.00 90.00°
Last column: nearest neighbours and their distance in Å.
Positions (direct):
Cr  0.0000  0.0000  0.0609  4 Cr 2.62, 1 Te 2.85
Cr  0.5000  0.5000  0.2148  4 Cr 2.62, 4 Te 2.81
Te  0.0000  0.0000  0.4147  5 Cr 2.81-2.85
Tl  0.5000  0.5000  0.8096  5 Cr 3.07-3.26, 4 Tl 3.27

Summary:
E_tot (eV/atom): -5.8474
Formation energy without anion corrections (kcal/mol of atoms): 7.87
Energy above the most stable polymorph in this dataset (meV per atom): 0.0
Crystal system: tetragonal
Magnetic moment (μB/atom): 0.15

=====

No. 6
## CuRh2Au (GGA-PBE)

Data for CuRh2Au after structural relaxation.

Cell: 4.8072 4.8072 4.7087 Å, 79.01 79.01 33.50°
Last column: nearest neighbours and their distance in Å.
Positions (direct):
Au  0.2500  0.2500  0.2500  4 Cu 2.73, 6 Rh 2.76-2.82, 2 Au 2.77
Cu  0.7500  0.7500  0.7500  6 Rh 2.67-2.82, 4 Au 2.73, 2 Cu 2.77
Rh  0.0082  0.0082  0.9859  6 Rh 2.65-2.82, 3 Cu 2.67-2.82, 3 Au 2.76-2.82
Rh  0.4918  0.4918  0.5141  6 Rh 2.65-2.82, 3 Cu 2.67-2.82, 3 Au 2.76-2.82

Summary:
E_tot (eV/atom): -5.4010
Energy above the most stable polymorph in this dataset (meV per atom): 56.0
ΔH_f (0 K) (eV per atom): 0.118
Crystal system: monoclinic
Magnetic moment (μB/atom): 0.00

=====

No. 7
## BaSi2Ag (GGA-PBE)

Data for BaSi2Ag after structural relaxation.

Cell: 4.6496 4.6496 6.2628 Å, 73.35 73.35 51.26°
Last column: nearest neighbours and their distance in Å.
Positions (direct):
Ag  0.2500  0.2500  0.2500  6 Si 2.57-2.74
Ba  0.7500  0.7500  0.7500  8 Si 3.37-3.74, 4 Ag 3.72
Si  0.9830  0.9830  0.1319  2 Si 2.57, 3 Ag 2.57-2.74
Si  0.5170  0.5170  0.3681  2 Si 2.57, 3 Ag 2.57-2.74

Summary:
E_tot (eV/atom): -4.0642
Formation energy without anion corrections (kcal/mol of atoms): -3.67
Crystal system: monoclinic
Magnetic moment (μB/atom): 0.00

=====

No. 8
## HfP3Pt (GGA-PBE)

Data for HfP3Pt after structural relaxation.

Cell: 4.6431 4.6431 4.6431 Å, 90.00 90.00 90.00°
Last column: nearest neighbours and their distance in Å.
Positions (direct):
P  0.0000  0.5000  0.0000  2 Pt 2.32
P  0.0000  0.0000  0.5000  2 Pt 2.32
P  0.5000  0.0000  0.0000  2 Pt 2.32
Hf  0.5000  0.5000  0.5000  12 P 3.28
Pt  0.0000  0.0000  0.0000  6 P 2.32

Summary:
E_tot (eV/atom): -5.8918
Energy above the most stable polymorph in this dataset (meV per atom): 0.0
ΔH_f (0 K) (eV per atom): 0.553
Crystal system: cubic
Magnetic moment (μB/atom): 0.00

=====

No. 9
## K2PrReO6 (GGA-PBE)

Data for K2PrReO6 after structural relaxation.

Cell: 6.0565 6.0565 6.0569 Å, 120.00 120.00 90.00°
Last column: nearest neighbours and their distance in Å.
Positions (direct):
K  0.7502  0.2507  0.5004  12 O 3.03-3.04
K  0.2502  0.7507  0.5004  12 O 3.03-3.04
Pr  0.5000  0.5005  0.0000  6 O 2.38
Re  0.9999  0.0004  0.9998  6 O 1.90
O  0.7775  0.7781  0.9996  1 Re 1.90
O  0.7775  0.7780  0.5551  1 Re 1.90
O  0.2221  0.2225  0.9995  1 Re 1.90
O  0.7775  0.2225  0.9995  1 Re 1.90
O  0.2221  0.2227  0.4442  1 Re 1.90
O  0.2220  0.7780  0.9996  1 Re 1.90

Summary:
E_tot (eV/atom): -7.0767
Formation energy without anion corrections (kcal/mol of atoms): -49.80
Crystal system: cubic
Magnetic moment (μB/atom): 0.00

=====

No. 10
## BaPt3F (GGA-PBE)

Data for BaPt3F after structural relaxation.

Cell: 4.6774 4.6774 4.6774 Å, 90.00 90.00 90.00°
Last column: nearest neighbours and their distance in Å.
Positions (direct):
Ba  0.5000  0.5000  0.5000  12 Pt 3.31
Pt  0.0000  0.5000  0.0000  2 F 2.34
Pt  0.0000  0.0000  0.5000  2 F 2.34
Pt  0.5000  0.0000  0.0000  2 F 2.34
F  0.0000  0.0000  0.0000  6 Pt 2.34

Summary:
E_tot (eV/atom): -4.3053
Formation energy without anion corrections (kcal/mol of atoms): 1.80
Energy above the most stable polymorph in this dataset (meV per atom): 0.0
Crystal system: cubic
Magnetic moment (μB/atom): 0.13

=====

No. 11
## BaCe2US8 (GGA-PBE)

Data for BaCe2US8 after structural relaxation.

Cell: 6.3568 6.2941 8.5990 Å, 89.92 89.98 90.25°
Last column: nearest neighbours and their distance in Å.
Positions (direct):
Ba  0.0000  0.0000  0.5000  6 S 3.08-3.11
Ce  0.5000  0.4996  0.7498  6 S 2.67-2.83
Ce  0.5000  0.5004  0.2502  6 S 2.67-2.83
U  0.0000  0.0000  0.0000  6 S 2.52-2.66
S  0.1545  0.7606  0.2055  1 U 2.52, 1 Ce 2.77
S  0.6738  0.7349  0.9996  1 U 2.66, 2 Ce 2.83
S  0.8442  0.2384  0.2051  1 U 2.52, 1 Ce 2.77
S  0.8455  0.2394  0.7945  1 U 2.52, 1 Ce 2.77
S  0.3262  0.2651  0.0004  1 U 2.66, 2 Ce 2.83
S  0.1558  0.7616  0.7949  1 U 2.52, 1 Ce 2.77
S  0.5910  0.7364  0.5000  2 Ce 2.67
S  0.4090  0.2636  0.5000  2 Ce 2.67

Summary:
E_tot (eV/atom): -6.3331
Formation energy without anion corrections (kcal/mol of atoms): -34.40
Crystal system: triclinic
Magnetic moment (μB/atom): 0.00

=====

No. 12
## Ca2Nd7Sm2 (GGA-PBE)

Data for Ca2Nd7Sm2 after structural relaxation.

Cell: 3.7146 11.5128 11.5128 Å, 62.33 71.17 71.17°
Last column: nearest neighbours and their distance in Å.
Positions (direct):
Ca  0.9636  0.7676  0.7676  6 Nd 3.64-3.68, 2 Ca 3.71
Ca  0.0364  0.2324  0.2324  6 Nd 3.64-3.68, 2 Ca 3.71
Nd  0.3197  0.6009  0.0776  2 Nd 3.27-3.35, 2 Sm 3.50-3.51, 2 Ca 3.64
Nd  0.6803  0.9224  0.3991  2 Nd 3.27-3.35, 2 Sm 3.50-3.51, 2 Ca 3.64
Nd  0.6803  0.3991  0.9224  2 Nd 3.27-3.35, 2 Sm 3.50-3.51, 2 Ca 3.64
Nd  0.3197  0.0776  0.6009  2 Nd 3.27-3.35, 2 Sm 3.50-3.51, 2 Ca 3.64
Nd  0.0000  0.0000  0.0000  6 Nd 3.71-4.08, 4 Sm 3.79
Nd  0.8108  0.5937  0.5937  5 Nd 3.35-3.71, 4 Sm 3.66, 2 Ca 3.68
Nd  0.1892  0.4063  0.4063  5 Nd 3.35-3.71, 4 Sm 3.66, 2 Ca 3.68
Sm  0.5000  0.2777  0.7223  10 Nd 3.50-3.79, 2 Sm 3.71
Sm  0.5000  0.7223  0.2777  10 Nd 3.50-3.79, 2 Sm 3.71

Summary:
E_tot (eV/atom): -4.0999
ΔH_f (0 K) (eV per atom): 0.156
Crystal system: monoclinic
Magnetic moment (μB/atom): 0.00